# 1
VASP calculation (GGA-PBE) on a geometry-optimized Ac12AgRu6 structure.

The structure in extended XYZ format:
```
19
Lattice="-5.365 5.365 5.365 5.365 -5.365 5.365 5.365 5.365 -5.365" Properties=species:S:1:pos:R:3 pbc="T T T"
Ac 5.365 -2.067 3.316
Ac 3.299 2.050 0.000
Ac 7.432 2.050 0.000
Ac 3.316 5.365 -2.067
Ac 2.050 0.000 3.299
Ac 0.000 3.299 2.050
Ac 5.365 2.067 3.316
Ac 3.316 5.365 2.067
Ac 2.050 0.000 7.432
Ac -2.067 3.316 5.365
Ac 2.067 3.316 5.365
Ac 0.000 7.432 2.050
Ag 0.000 0.000 0.000
Ru 5.365 0.000 1.288
Ru 5.365 4.077 0.000
Ru 1.288 5.365 0.000
Ru 4.077 0.000 5.365
Ru 0.000 1.288 5.365
Ru 0.000 5.365 4.077
```

Values from the calculation:
ΔE_f   -0.13 eV per atom
V   32.5 Å³ per atom



# 2
VASP calculation (GGA-PBE) on a geometry-optimized Ac5Ag2Ru structure.

The structure in extended XYZ format:
```
16
Lattice="9.776 0.000 0.000 0.000 13.011 0.000 0.000 0.000 4.379" Properties=species:S:1:pos:R:3 pbc="T T T"
Ac 0.000 0.000 0.000
Ac 1.351 3.915 0.000
Ac 1.718 7.473 2.189
Ac 3.170 0.968 2.189
Ac 3.537 10.421 0.000
Ac 4.888 6.506 0.000
Ac 6.240 2.591 0.000
Ac 6.606 12.044 2.189
Ac 8.058 5.538 2.189
Ac 8.425 9.097 0.000
Ag 0.802 10.729 2.189
Ag 4.087 4.223 2.189
Ag 5.690 8.789 2.189
Ag 8.975 2.283 2.189
Ru 0.000 6.506 0.000
Ru 4.888 0.000 0.000
```

Values from the calculation:
ΔE_f   -0.22 eV per atom
V   34.8 Å³ per atom



# 3
VASP calculation (GGA-PBE) on a geometry-optimized Ac12Ag3Ru5 structure.

The structure in extended XYZ format:
```
80
Lattice="-9.017 9.017 9.017 9.017 -9.017 9.017 9.017 9.017 -9.017" Properties=species:S:1:pos:R:3 pbc="T T T"
Ac 2.699 -0.543 1.029
Ac 10.826 5.538 -5.052
Ac 11.716 0.543 1.029
Ac 10.826 -3.479 5.052
Ac 8.473 -1.029 2.699
Ac 14.068 -1.809 3.479
Ac 1.029 2.699 -0.543
Ac 12.496 3.965 -1.809
Ac 5.538 5.052 -1.809
Ac 7.987 2.699 0.543
Ac -0.543 1.029 2.699
Ac 5.052 -1.809 5.538
Ac 8.473 7.987 -2.699
Ac 5.052 1.809 3.479
Ac 5.538 -5.052 10.826
Ac 7.987 -2.699 8.473
Ac 3.479 5.052 1.809
Ac 10.046 6.317 0.543
Ac 5.052 10.826 -3.479
Ac 8.473 1.029 6.317
Ac 2.699 8.473 -1.029
Ac 10.826 3.479 3.965
Ac 1.809 3.479 5.052
Ac 2.699 0.543 7.987
Ac 6.317 8.473 1.029
Ac 7.208 5.538 3.965
Ac -1.809 5.538 5.052
Ac 6.317 0.543 10.046
Ac 0.543 7.987 2.699
Ac 3.965 -1.809 12.496
Ac -1.029 2.699 8.473
Ac 5.538 3.965 7.208
Ac 1.029 11.716 0.543
Ac 3.479 14.068 -1.809
Ac 3.965 7.208 5.538
Ac 0.543 1.029 11.716
Ac 3.965 10.826 3.479
Ac 9.560 7.987 6.317
Ac 1.029 6.317 8.473
Ac 3.479 3.965 10.826
Ac -3.479 5.052 10.826
Ac 7.987 6.317 9.560
Ac -5.052 10.826 5.538
Ac 0.543 10.046 6.317
Ac -1.809 12.496 3.965
Ac -2.699 8.473 7.987
Ac -1.809 3.479 14.068
Ac 6.317 9.560 7.987
Ag 4.508 2.254 0.000
Ag 9.017 4.508 -2.254
Ag 2.254 0.000 4.508
Ag 11.271 0.000 4.508
Ag 0.000 4.508 2.254
Ag 4.508 -2.254 9.017
Ag 4.508 11.271 0.000
Ag 9.017 4.508 6.762
Ag -2.254 9.017 4.508
Ag 6.762 9.017 4.508
Ag 0.000 4.508 11.271
Ag 4.508 6.762 9.017
Ru 0.000 0.000 0.000
Ru 4.508 4.508 -4.508
Ru 4.508 -4.508 4.508
Ru 9.017 0.000 0.000
Ru 13.525 2.254 0.000
Ru 9.017 -4.508 6.762
Ru 6.762 9.017 -4.508
Ru 6.762 0.000 4.508
Ru 4.508 6.762 0.000
Ru 9.017 4.508 2.254
Ru -4.508 4.508 4.508
Ru 0.000 9.017 0.000
Ru 0.000 0.000 9.017
Ru 4.508 4.508 4.508
Ru 0.000 4.508 6.762
Ru 4.508 2.254 9.017
Ru 2.254 9.017 4.508
Ru 2.254 0.000 13.525
Ru 0.000 13.525 2.254
Ru -4.508 6.762 9.017
```

Values from the calculation:
ΔE_f   -0.01 eV per atom
V   36.7 Å³ per atom



# 4
VASP calculation (GGA-PBE) on a geometry-optimized Ac5AgRu structure.

The structure in extended XYZ format:
```
14
Lattice="6.501 -3.873 0.000 6.501 3.873 0.000 -4.616 0.000 10.808" Properties=species:S:1:pos:R:3 pbc="T T T"
Ac -0.163 1.239 6.869
Ac 3.039 3.451 8.106
Ac 0.545 1.305 10.675
Ac 2.145 -1.239 1.465
Ac 5.534 1.305 5.537
Ac 2.853 -1.305 5.271
Ac 6.241 1.239 9.343
Ac 7.841 -1.305 0.133
Ac 5.347 -3.451 2.702
Ac 8.549 -1.239 3.939
Ag 3.039 0.197 8.106
Ag 5.347 -0.197 2.702
Ru 0.000 0.000 0.000
Ru -2.308 0.000 5.404
```

Values from the calculation:
ΔE_f   -0.06 eV per atom
V   38.9 Å³ per atom



# 5
VASP calculation (GGA-PBE) on a geometry-optimized Ac2AgRu structure.

The structure in extended XYZ format:
```
4
Lattice="3.726 0.000 0.000 0.000 3.726 0.000 0.000 0.000 8.107" Properties=species:S:1:pos:R:3 pbc="T T T"
Ac 0.000 0.000 1.814
Ac 0.000 0.000 6.293
Ag 1.863 1.863 4.053
Ru 1.863 1.863 0.000
```

Values from the calculation:
ΔE_f   -0.13 eV per atom
V   28.1 Å³ per atom



# 6
VASP calculation (GGA-PBE) on a geometry-optimized Ac2AgRu structure.

The structure in extended XYZ format:
```
8
Lattice="6.474 0.000 0.000 0.000 4.376 0.000 -3.137 0.000 8.145" Properties=species:S:1:pos:R:3 pbc="T T T"
Ac -0.004 1.094 3.660
Ac -1.385 1.094 7.419
Ac 4.722 3.282 0.726
Ac 3.341 3.282 4.486
Ag 1.560 3.282 1.720
Ag 1.778 1.094 6.426
Ru -0.135 3.282 5.807
Ru 3.472 1.094 2.339
```

Values from the calculation:
ΔE_f   -0.19 eV per atom
V   28.8 Å³ per atom



# 7
VASP calculation (GGA-PBE) on a geometry-optimized Ac8Ag2Ru structure.

The structure in extended XYZ format:
```
11
Lattice="10.071 -2.115 0.000 10.071 2.115 0.000 -0.669 0.000 9.877" Properties=species:S:1:pos:R:3 pbc="T T T"
Ac 0.002 0.000 2.007
Ac 4.271 0.000 3.297
Ac 7.080 0.000 0.019
Ac 7.865 0.000 4.772
Ac 11.608 0.000 5.105
Ac 12.393 0.000 9.858
Ac 15.202 0.000 6.580
Ac 19.472 0.000 7.870
Ag 2.792 0.000 7.328
Ag 16.681 0.000 2.549
Ru 10.071 0.000 0.000
```

Values from the calculation:
ΔE_f   -0.13 eV per atom
V   38.3 Å³ per atom



# 8
VASP calculation (GGA-PBE) on a geometry-optimized Ac12Ag6Ru structure.

The structure in extended XYZ format:
```
19
Lattice="6.881 3.973 4.474 -6.881 3.973 4.474 0.000 -7.945 4.474" Properties=species:S:1:pos:R:3 pbc="T T T"
Ac -4.608 -4.601 7.282
Ac -6.289 1.690 6.140
Ac -1.562 -2.040 5.234
Ac 1.681 -6.292 6.140
Ac -0.986 2.373 5.234
Ac -2.548 0.332 8.188
Ac 2.548 -0.332 5.234
Ac 0.986 -2.373 8.188
Ac -1.681 6.292 7.282
Ac 1.562 2.040 8.188
Ac 6.289 -1.690 7.282
Ac 4.608 4.601 6.140
Ag -3.551 0.569 4.839
Ag 1.283 -3.359 4.839
Ag -2.268 -2.791 8.584
Ag 2.268 2.791 4.839
Ag -1.283 3.359 8.584
Ag 3.551 -0.569 8.584
Ru 0.000 0.000 0.000
```

Values from the calculation:
ΔE_f   -0.07 eV per atom
V   38.6 Å³ per atom



# 9
VASP calculation (GGA-PBE) on a geometry-optimized Ac6AgRu structure.

The structure in extended XYZ format:
```
8
Lattice="3.858 -6.132 0.000 3.858 6.132 0.000 -2.101 0.000 7.024" Properties=species:S:1:pos:R:3 pbc="T T T"
Ac 1.065 2.103 1.706
Ac 0.326 0.000 5.433
Ac 1.065 -2.103 1.706
Ac 4.551 2.103 5.318
Ac 5.289 0.000 1.591
Ac 4.551 -2.103 5.318
Ag 2.808 0.000 3.512
Ru 0.000 0.000 0.000
```

Values from the calculation:
ΔE_f   -0.06 eV per atom
V   41.5 Å³ per atom



# 10
VASP calculation (GGA-PBE) on a geometry-optimized AcScAgRu structure.

The structure in extended XYZ format:
```
4
Lattice="0.000 3.581 3.581 3.581 0.000 3.581 3.581 3.581 0.000" Properties=species:S:1:pos:R:3 pbc="T T T"
Ac 0.000 0.000 0.000
Sc 3.581 3.581 3.581
Ag 1.790 1.790 1.790
Ru 5.371 5.371 5.371
```

Values from the calculation:
ΔE_f   -0.10 eV per atom
V   23.0 Å³ per atom



# 11
VASP calculation (GGA-PBE) on a geometry-optimized AcSmAgRu structure.

The structure in extended XYZ format:
```
4
Lattice="0.000 3.694 3.694 3.694 0.000 3.694 3.694 3.694 0.000" Properties=species:S:1:pos:R:3 pbc="T T T"
Ac 0.000 0.000 0.000
Sm 3.694 3.694 3.694
Ag 5.541 5.541 5.541
Ru 1.847 1.847 1.847
```

Values from the calculation:
ΔE_f   -0.14 eV per atom
V   25.2 Å³ per atom



# 12
VASP calculation (GGA-PBE) on a geometry-optimized AcTbAgRu structure.

The structure in extended XYZ format:
```
4
Lattice="0.000 3.669 3.669 3.669 0.000 3.669 3.669 3.669 0.000" Properties=species:S:1:pos:R:3 pbc="T T T"
Ac 0.000 0.000 0.000
Tb 3.669 3.669 3.669
Ag 5.503 5.503 5.503
Ru 1.834 1.834 1.834
```

Values from the calculation:
ΔE_f   -0.16 eV per atom
V   24.7 Å³ per atom



# 13
VASP calculation (GGA-PBE) on a geometry-optimized AcThAgRu structure.

The structure in extended XYZ format:
```
4
Lattice="0.000 3.722 3.722 3.722 0.000 3.722 3.722 3.722 0.000" Properties=species:S:1:pos:R:3 pbc="T T T"
Ac 0.000 0.000 0.000
Th 3.722 3.722 3.722
Ag 5.583 5.583 5.583
Ru 1.861 1.861 1.861
```

Values from the calculation:
ΔE_f   -0.08 eV per atom
V   25.8 Å³ per atom



# 14
VASP calculation (GGA-PBE) on a geometry-optimized AcYAgRu structure.

The structure in extended XYZ format:
```
4
Lattice="0.000 3.667 3.667 3.667 0.000 3.667 3.667 3.667 0.000" Properties=species:S:1:pos:R:3 pbc="T T T"
Ac 0.000 0.000 0.000
Y 3.667 3.667 3.667
Ag 1.834 1.834 1.834
Ru 5.501 5.501 5.501
```

Values from the calculation:
ΔE_f   -0.16 eV per atom
V   24.7 Å³ per atom



# 15
VASP calculation (GGA-PBE) on a geometry-optimized Ac2ZnAgRu structure.

The structure in extended XYZ format:
```
10
Lattice="7.893 0.000 0.000 0.000 4.431 0.000 -2.659 0.000 7.646" Properties=species:S:1:pos:R:3 pbc="T T T"
Ac 0.078 1.108 2.709
Ac -0.345 1.108 7.300
Ac 5.578 3.323 0.345
Ac 5.156 3.323 4.936
Zn 2.585 3.323 2.488
Zn 2.649 1.108 5.157
Ag 1.031 3.323 5.040
Ag 4.203 1.108 2.606
Ru 0.674 3.323 0.749
Ru 4.560 1.108 6.897
```

Values from the calculation:
ΔE_f   -0.23 eV per atom
V   26.7 Å³ per atom



# 16
VASP calculation (GGA-PBE) on a geometry-optimized AcAg3S4 structure.

The structure in extended XYZ format:
```
16
Lattice="7.175 0.000 0.000 0.000 7.175 0.000 0.000 0.000 7.175" Properties=species:S:1:pos:R:3 pbc="T T T"
Ac 0.000 0.000 0.000
Ac 3.587 3.587 3.587
Ag 0.000 1.794 3.587
Ag 0.000 5.381 3.587
Ag 1.794 3.587 0.000
Ag 3.587 0.000 1.794
Ag 3.587 0.000 5.381
Ag 5.381 3.587 0.000
S 1.794 1.794 1.794
S 1.794 1.794 5.381
S 1.794 5.381 1.794
S 1.794 5.381 5.381
S 5.381 1.794 1.794
S 5.381 1.794 5.381
S 5.381 5.381 1.794
S 5.381 5.381 5.381
```

Values from the calculation:
Formation energy from raw total energies   -0.687 eV per atom
V   23.1 Å³ per atom



# 17
VASP calculation (GGA-PBE) on a geometry-optimized Ac2AgS structure.

The structure in extended XYZ format:
```
4
Lattice="2.142 1.237 8.006 -2.142 1.237 8.006 0.000 -2.473 8.006" Properties=species:S:1:pos:R:3 pbc="T T T"
Ac 0.000 0.000 0.000
Ac 0.000 0.000 4.387
Ag 0.000 0.000 10.189
S 0.000 0.000 14.245
```

Values from the calculation:
Energy relative to the lowest polymorph listed for this composition   30 meV per atom
Formation energy from raw total energies   -0.989 eV per atom
V   31.8 Å³ per atom



# 18
VASP calculation (GGA-PBE) on a geometry-optimized AcAgS3 structure.

The structure in extended XYZ format:
```
5
Lattice="4.858 0.000 0.000 0.000 4.858 0.000 0.000 0.000 4.858" Properties=species:S:1:pos:R:3 pbc="T T T"
Ac 0.000 0.000 0.000
Ag 2.429 2.429 2.429
S 0.000 2.429 2.429
S 2.429 0.000 2.429
S 2.429 2.429 0.000
```

Values from the calculation:
Energy relative to the lowest polymorph listed for this composition   246 meV per atom
Formation energy from raw total energies   -0.797 eV per atom
V   22.9 Å³ per atom



# 19
VASP calculation (GGA-PBE) on a geometry-optimized AcAgS3 structure.

The structure in extended XYZ format:
```
5
Lattice="4.451 0.000 0.000 0.000 4.770 0.000 0.000 0.000 5.769" Properties=species:S:1:pos:R:3 pbc="T T T"
Ac 0.000 0.000 0.000
Ag 2.225 2.385 3.333
S 0.000 1.126 2.866
S 0.000 3.644 2.866
S 2.225 2.385 0.145
```

Values from the calculation:
Energy relative to the lowest polymorph listed for this composition   148 meV per atom
Formation energy from raw total energies   -0.895 eV per atom
V   24.5 Å³ per atom



# 20
VASP calculation (GGA-PBE) on a geometry-optimized AcAgS3 structure.

The structure in extended XYZ format:
```
20
Lattice="5.400 -6.348 0.000 5.400 6.348 0.000 -5.371 0.000 7.375" Properties=species:S:1:pos:R:3 pbc="T T T"
Ac 1.372 5.532 5.531
Ac 4.057 2.114 1.844
Ac 1.372 -2.114 5.531
Ac 4.057 -5.532 1.844
Ag -0.065 1.230 5.881
Ag 2.620 -1.230 2.193
Ag 2.809 1.230 5.181
Ag 5.494 -1.230 1.494
S -0.930 3.597 6.443
S 2.645 4.553 2.990
S 5.469 4.553 0.697
S 0.829 0.114 3.690
S 3.515 -0.114 0.003
S 3.673 3.597 4.619
S 1.756 -3.597 2.756
S 1.914 0.114 7.372
S 4.599 -0.114 3.685
S -0.040 -4.553 6.678
S 2.783 -4.553 4.385
S 6.358 -3.597 0.932
```

Values from the calculation:
Energy relative to the lowest polymorph listed for this composition   0 meV per atom
Formation energy from raw total energies   -1.043 eV per atom
V   25.3 Å³ per atom